1.
Compound: MgB4Au
Source: OQMD via LeMat-Bulk
Functional: PBE-GGA
Structure: optimized geometry Values from VASP.

Cell and atoms, written as Quantum ESPRESSO input:
```
&SYSTEM
  ibrav = 0, nat = 6, ntyp = 3
/
ATOMIC_SPECIES
B 10.81 B.upf
Au 196.97 Au.upf
Mg 24.30 Mg.upf
ATOMIC_POSITIONS crystal
B 0.6667 0.3333 0.7307
B 0.3333 0.6667 0.7307
B 0.3333 0.6667 0.2693
Au 0.0000 0.0000 0.0000
B 0.6667 0.3333 0.2693
Mg 0.0000 0.0000 0.5000
CELL_PARAMETERS angstrom
3.0769 0.0000 0.0000
-1.5385 2.6647 0.0000
0.0000 0.0000 7.3059
```

- calculated total energy (eV per atom) = -4.99
- excess energy over the best structure of this formula in the dataset (eV per formula unit) = 0.244


2.
Compound: MgB2Au
Source: OQMD via LeMat-Bulk
Functional: PBE-GGA
Structure: optimized geometry Values from VASP.

Cell and atoms, written as Quantum ESPRESSO input:
```
&SYSTEM
  ibrav = 0, nat = 4, ntyp = 3
/
ATOMIC_SPECIES
B 10.81 B.upf
Au 196.97 Au.upf
Mg 24.30 Mg.upf
ATOMIC_POSITIONS crystal
B 0.7500 0.7500 0.7500
Au 0.2500 0.2500 0.2500
B 0.0000 0.0000 0.0000
Mg 0.5000 0.5000 0.5000
CELL_PARAMETERS angstrom
0.1328 -4.0404 -1.0337
-2.2559 -2.7778 2.1462
-3.3158 -1.8103 -1.7720
```

- calculated total energy (eV per atom) = -3.36


3.
Compound: MgBAu
Source: OQMD via LeMat-Bulk
Functional: PBE-GGA
Structure: optimized geometry Values from VASP.

Cell and atoms, written as Quantum ESPRESSO input:
```
&SYSTEM
  ibrav = 0, nat = 3, ntyp = 3
/
ATOMIC_SPECIES
Mg 24.30 Mg.upf
B 10.81 B.upf
Au 196.97 Au.upf
ATOMIC_POSITIONS crystal
Mg 0.7500 0.7500 0.7500
B 0.0000 0.0000 0.0000
Au 0.2500 0.2500 0.2500
CELL_PARAMETERS angstrom
3.3860 -1.2321 1.6505
0.8337 0.9493 3.7565
-0.0671 -2.7928 2.8113
```

- calculated total energy (eV per atom) = -3.60
- excess energy over the best structure of this formula in the dataset (eV per formula unit) = 0.000


4.
Compound: MgBAu2
Source: OQMD via LeMat-Bulk
Functional: PBE-GGA
Structure: optimized geometry Values from VASP.

Cell and atoms, written as Quantum ESPRESSO input:
```
&SYSTEM
  ibrav = 0, nat = 4, ntyp = 3
/
ATOMIC_SPECIES
Au 196.97 Au.upf
B 10.81 B.upf
Mg 24.30 Mg.upf
ATOMIC_POSITIONS crystal
Au 0.7500 0.7500 0.7500
B 0.5000 0.5000 0.5000
Mg 0.2500 0.2500 0.2500
Au 0.0000 0.0000 0.0000
CELL_PARAMETERS angstrom
-0.5994 1.4270 4.2029
-3.4844 -1.4816 2.3926
0.6682 -2.7990 3.4321
```

- calculated total energy (eV per atom) = -3.21


5.
Compound: MgB4Au
Source: OQMD via LeMat-Bulk
Functional: PBE-GGA
Structure: optimized geometry Values from VASP.

Cell and atoms, written as Quantum ESPRESSO input:
```
&SYSTEM
  ibrav = 0, nat = 6, ntyp = 3
/
ATOMIC_SPECIES
B 10.81 B.upf
Mg 24.30 Mg.upf
Au 196.97 Au.upf
ATOMIC_POSITIONS crystal
B 0.5896 0.2630 0.3266
Mg 0.0000 0.0000 0.0000
B 0.9365 0.2630 0.6734
B 0.4104 0.7370 0.6734
B 0.0635 0.7370 0.3266
Au 0.5000 0.5000 0.0000
CELL_PARAMETERS angstrom
-2.4822 -4.0885 -0.5513
-3.6582 0.6588 3.0602
1.9236 1.7082 -4.0697
```

- calculated total energy (eV per atom) = -5.03
- excess energy over the best structure of this formula in the dataset (eV per formula unit) = 0.000


6.
Compound: MgNiBAu
Source: OQMD via LeMat-Bulk
Functional: PBE-GGA
Structure: optimized geometry Values from VASP.

Cell and atoms, written as Quantum ESPRESSO input:
```
&SYSTEM
  ibrav = 0, nat = 4, ntyp = 4
/
ATOMIC_SPECIES
B 10.81 B.upf
Au 196.97 Au.upf
Ni 58.69 Ni.upf
Mg 24.30 Mg.upf
ATOMIC_POSITIONS crystal
B 0.0000 0.0000 0.0000
Au 0.5000 0.5000 0.5000
Ni 0.7500 0.7500 0.7500
Mg 0.2500 0.2500 0.2500
CELL_PARAMETERS angstrom
0.0000 2.9926 2.9926
2.9926 0.0000 2.9926
2.9926 2.9926 0.0000
```

- calculated total energy (eV per atom) = -3.86


7.
Compound: MgNiBAu
Source: OQMD via LeMat-Bulk
Functional: PBE-GGA
Structure: optimized geometry Values from VASP.

Cell and atoms, written as Quantum ESPRESSO input:
```
&SYSTEM
  ibrav = 0, nat = 4, ntyp = 4
/
ATOMIC_SPECIES
B 10.81 B.upf
Ni 58.69 Ni.upf
Mg 24.30 Mg.upf
Au 196.97 Au.upf
ATOMIC_POSITIONS crystal
B 0.0000 0.0000 0.0000
Ni 0.5000 0.5000 0.5000
Mg 0.2500 0.2500 0.2500
Au 0.7500 0.7500 0.7500
CELL_PARAMETERS angstrom
-3.5725 0.3154 2.1729
-1.9351 3.7058 0.3267
-3.6232 0.6575 -2.0061
```

- calculated total energy (eV per atom) = -3.86


8.
Compound: BMoAu
Source: OQMD via LeMat-Bulk
Functional: PBE-GGA
Structure: optimized geometry Values from VASP.

Cell and atoms, written as Quantum ESPRESSO input:
```
&SYSTEM
  ibrav = 0, nat = 3, ntyp = 3
/
ATOMIC_SPECIES
B 10.81 B.upf
Au 196.97 Au.upf
Mo 95.94 Mo.upf
ATOMIC_POSITIONS crystal
B 0.2500 0.2500 0.2500
Au 0.0000 0.0000 0.0000
Mo 0.7500 0.7500 0.7500
CELL_PARAMETERS angstrom
0.0000 2.9173 2.9173
2.9173 0.0000 2.9173
2.9173 2.9173 0.0000
```

- calculated total energy (eV per atom) = -5.50
- excess energy over the best structure of this formula in the dataset (eV per formula unit) = 0.486


> Which formula does entry 8 have?

BMoAu


> Which of these has the highest calculated total energy?

MgBAu2


> Among the records above, which one has the highest calculated total energy?

MgBAu2